{
  "formula": "Tl3GaF6",
  "functional": "meta-GGA SCAN",
  "state": "PBEsol geometry",
  "n_ef_per_ev_atom": 0.000,
  "crystal_system": "cubic",
  "final_energy_ev_per_atom": -27.71,
  "total_magnetization_mub_per_fu": 0.0,
  "formation_energy_uncorrected_ev_per_atom": -2.249,
  "cell": [[-4.0726, -1.8344, -4.4779], [1.2485, -5.1127, -3.5077], [-3.3949, -5.2786, 0.7834]],
  "species": ["F", "F", "F", "F", "F", "F", "Tl", "Tl", "Tl", "Ga"],
  "fractional_positions": [[0.2873, 0.7127, 0.2873], [0.2873, 0.2873, 0.7127], [0.7127, 0.2873, 0.7127], [0.2873, 0.7127, 0.7127], [0.7127, 0.2873, 0.2873], [0.7127, 0.7127, 0.2873], [0.2500, 0.2500, 0.2500], [0.7500, 0.7500, 0.7500], [0.0000, 0.0000, 0.0000], [0.5000, 0.5000, 0.5000]]
}


{
  "formula": "TlGaF2",
  "functional": "meta-GGA SCAN",
  "state": "PBEsol geometry",
  "n_ef_per_ev_atom": 0.137,
  "crystal_system": "trigonal",
  "final_energy_ev_per_atom": -25.43,
  "total_magnetization_mub_per_fu": 0.0,
  "formation_energy_uncorrected_ev_per_atom": -1.486,
  "cell": [[3.2126, 0.0000, 0.0000], [1.6063, 2.7822, 0.0000], [1.6063, 0.9274, 7.8434]],
  "species": ["Tl", "F", "F", "Ga"],
  "fractional_positions": [[0.5000, 0.5000, 0.5000], [0.0840, 0.0840, 0.7481], [0.9160, 0.9160, 0.2519], [0.0000, 0.0000, 0.0000]]
}


{
  "formula": "YGaF2",
  "functional": "meta-GGA SCAN",
  "state": "PBEsol geometry",
  "n_ef_per_ev_atom": 0.161,
  "crystal_system": "trigonal",
  "final_energy_ev_per_atom": -14.80,
  "total_magnetization_mub_per_fu": 0.0,
  "formation_energy_uncorrected_ev_per_atom": -1.979,
  "cell": [[-2.0163, -2.5068, 1.9716], [-2.3314, -2.3689, -1.7859], [3.7333, -6.2696, -0.5432]],
  "species": ["Ga", "F", "F", "Y"],
  "fractional_positions": [[0.5000, 0.5000, 0.5000], [0.1012, 0.1012, 0.6965], [0.8988, 0.8988, 0.3035], [0.0000, 0.0000, 0.0000]]
}


{
  "formula": "YGa2F",
  "functional": "meta-GGA SCAN",
  "state": "PBEsol geometry",
  "n_ef_per_ev_atom": 0.674,
  "crystal_system": "cubic",
  "final_energy_ev_per_atom": -16.56,
  "total_magnetization_mub_per_fu": 0.0,
  "formation_energy_uncorrected_ev_per_atom": -0.544,
  "cell": [[-3.3018, -3.3177, -0.7900], [0.4992, -4.3366, 1.8648], [-2.8435, -1.4069, 3.5311]],
  "species": ["F", "Ga", "Ga", "Y"],
  "fractional_positions": [[0.0000, 0.0000, 0.0000], [0.7500, 0.7500, 0.7500], [0.2500, 0.2500, 0.2500], [0.5000, 0.5000, 0.5000]]
}


{
  "formula": "ZrGaF3",
  "functional": "meta-GGA SCAN",
  "state": "PBEsol geometry",
  "n_ef_per_ev_atom": 0.767,
  "crystal_system": "cubic",
  "final_energy_ev_per_atom": -13.86,
  "total_magnetization_mub_per_fu": 1.6,
  "formation_energy_uncorrected_ev_per_atom": -2.324,
  "cell": [[4.2939, 0.0000, 0.0000], [0.0000, 4.2939, 0.0000], [0.0000, 0.0000, 4.2939]],
  "species": ["F", "F", "F", "Ga", "Zr"],
  "fractional_positions": [[0.0000, 0.0000, 0.5000], [0.0000, 0.5000, 0.0000], [0.5000, 0.0000, 0.0000], [0.5000, 0.5000, 0.5000], [0.0000, 0.0000, 0.0000]]
}


{
  "formula": "K3GdF6",
  "functional": "meta-GGA SCAN",
  "state": "PBEsol geometry",
  "n_ef_per_ev_atom": 0.000,
  "crystal_system": "monoclinic",
  "final_energy_ev_per_atom": -13.99,
  "total_magnetization_mub_per_fu": 7.0,
  "formation_energy_uncorrected_ev_per_atom": -3.481,
  "cell": [[-3.9532, 1.6589, -4.6362], [-5.1278, -1.4196, 3.8644], [0.0950, 8.4092, 3.2151]],
  "species": ["F", "F", "F", "F", "F", "F", "F", "F", "F", "F", "F", "F", "K", "K", "K", "K", "K", "K", "Gd", "Gd"],
  "fractional_positions": [[0.8262, 0.2709, 0.0795], [0.1738, 0.7291, 0.9205], [0.8759, 0.0674, 0.7733], [0.6738, 0.7709, 0.4205], [0.7834, 0.3205, 0.4478], [0.2834, 0.1795, 0.9478], [0.6241, 0.5674, 0.7267], [0.2166, 0.6795, 0.5522], [0.3759, 0.4326, 0.2733], [0.1241, 0.9326, 0.2267], [0.7166, 0.8205, 0.0522], [0.3262, 0.2291, 0.5795], [0.5000, 0.5000, 0.0000], [0.4804, 0.9457, 0.7583], [0.5196, 0.0543, 0.2417], [0.0000, 0.0000, 0.5000], [0.0196, 0.4457, 0.7417], [0.9804, 0.5543, 0.2583], [0.5000, 0.5000, 0.5000], [0.0000, 0.0000, 0.0000]]
}


{
  "formula": "Na2Gd2MgSi4O12F2",
  "functional": "meta-GGA SCAN",
  "state": "PBEsol geometry",
  "n_ef_per_ev_atom": 0.000,
  "crystal_system": "monoclinic",
  "final_energy_ev_per_atom": -14.26,
  "total_magnetization_mub_per_fu": 13.9,
  "formation_energy_uncorrected_ev_per_atom": -3.259,
  "cell": [[5.1659, 0.0000, 0.0008], [0.0000, 7.4988, 0.0000], [-0.0386, 0.0000, 14.3699]],
  "species": ["O", "O", "O", "O", "O", "O", "O", "O", "O", "O", "O", "O", "O", "O", "O", "O", "O", "O", "O", "O", "O", "O", "O", "O", "Gd", "Gd", "Gd", "Gd", "Si", "Si", "Si", "Si", "Si", "Si", "Si", "Si", "F", "F", "F", "F", "Mg", "Mg", "Na", "Na", "Na", "Na"],
  "fractional_positions": [[0.2872, 0.2427, 0.1855], [0.8564, 0.0413, 0.1532], [0.1687, 0.6242, 0.8859], [0.7128, 0.7573, 0.8145], [0.8595, 0.7622, 0.5528], [0.8595, 0.7378, 0.0528], [0.1470, 0.7722, 0.2095], [0.8313, 0.1242, 0.6141], [0.8530, 0.2722, 0.2905], [0.1687, 0.8758, 0.3859], [0.8530, 0.2278, 0.7905], [0.7128, 0.7427, 0.3145], [0.1436, 0.5413, 0.3468], [0.2872, 0.2573, 0.6855], [0.1436, 0.9587, 0.8468], [0.7123, 0.0551, 0.9427], [0.2877, 0.5551, 0.5573], [0.7123, 0.4449, 0.4427], [0.8313, 0.3758, 0.1141], [0.2877, 0.9449, 0.0573], [0.1405, 0.2378, 0.4472], [0.1470, 0.7278, 0.7095], [0.1405, 0.2622, 0.9472], [0.8564, 0.4587, 0.6532], [0.4858, 0.2293, 0.0426], [0.5142, 0.7293, 0.4574], [0.4858, 0.2707, 0.5426], [0.5142, 0.7707, 0.9574], [0.0245, 0.7590, 0.8144], [0.0366, 0.8718, 0.1140], [0.9755, 0.2410, 0.1856], [0.9634, 0.1282, 0.8860], [0.9755, 0.2590, 0.6856], [0.0245, 0.7410, 0.3144], [0.9634, 0.3718, 0.3860], [0.0366, 0.6282, 0.6140], [0.3382, 0.9599, 0.5616], [0.6618, 0.0401, 0.4384], [0.6618, 0.4599, 0.9384], [0.3382, 0.5401, 0.0616], [0.0000, 0.0000, 0.5000], [0.0000, 0.5000, 0.0000], [0.5009, 0.9598, 0.7114], [0.4991, 0.4598, 0.7886], [0.5009, 0.5402, 0.2114], [0.4991, 0.0402, 0.2886]]
}


{
  "formula": "NaGdF4",
  "functional": "meta-GGA SCAN",
  "state": "PBEsol geometry",
  "n_ef_per_ev_atom": 0.000,
  "crystal_system": "triclinic",
  "final_energy_ev_per_atom": -16.77,
  "total_magnetization_mub_per_fu": 2.3,
  "formation_energy_uncorrected_ev_per_atom": -3.902,
  "cell": [[6.0122, 0.0109, 0.0015], [2.9884, 6.3048, 0.0319], [2.9936, 2.2123, 5.9100]],
  "species": ["F", "F", "F", "F", "F", "F", "F", "F", "F", "F", "F", "F", "Na", "Na", "Na", "Gd", "Gd", "Gd"],
  "fractional_positions": [[0.7569, 0.2471, 0.7411], [0.3630, 0.0110, 0.0310], [0.2537, 0.6306, 0.1271], [0.0415, 0.2825, 0.3133], [0.9768, 0.8915, 0.3800], [0.3603, 0.5481, 0.4986], [0.5937, 0.7099, 0.6520], [0.5960, 0.1665, 0.1926], [0.7546, 0.7393, 0.2282], [0.9795, 0.3846, 0.8779], [0.2771, 0.1345, 0.6204], [0.0513, 0.8239, 0.7675], [0.3298, 0.4305, 0.9048], [0.6650, 0.0053, 0.6784], [0.6647, 0.4849, 0.1668], [0.0026, 0.0033, 0.9943], [0.3357, 0.9250, 0.4056], [0.9977, 0.5028, 0.4996]]
}


{
  "formula": "Na5Gd4Si4O16F",
  "functional": "meta-GGA SCAN",
  "state": "PBEsol geometry",
  "n_ef_per_ev_atom": 0.000,
  "crystal_system": "tetragonal",
  "final_energy_ev_per_atom": -16.49,
  "total_magnetization_mub_per_fu": 27.8,
  "formation_energy_uncorrected_ev_per_atom": -3.165,
  "cell": [[-0.4524, 5.2147, 1.4566], [-6.1691, 3.6613, -4.8905], [-5.9017, 0.5462, 6.3445]],
  "species": ["O", "O", "O", "O", "O", "O", "O", "O", "O", "O", "O", "O", "O", "O", "O", "O", "Gd", "Gd", "Gd", "Gd", "Na", "Na", "Na", "Na", "Na", "Si", "Si", "Si", "Si", "F"],
  "fractional_positions": [[0.6682, 0.9678, 0.5609], [0.4542, 0.7670, 0.8640], [0.8660, 0.5039, 0.7217], [0.2065, 0.8243, 0.2433], [0.7708, 0.5609, 0.0322], [0.1969, 0.0322, 0.4391], [0.7788, 0.1360, 0.7670], [0.5503, 0.2433, 0.1757], [0.4123, 0.7217, 0.4961], [0.2740, 0.1757, 0.7567], [0.9693, 0.7567, 0.8243], [0.0852, 0.2330, 0.1360], [0.6301, 0.2783, 0.5039], [0.0915, 0.4961, 0.2783], [0.3640, 0.4391, 0.9678], [0.6818, 0.8640, 0.2330], [0.8413, 0.0669, 0.2983], [0.8603, 0.2983, 0.9331], [0.0917, 0.7017, 0.0669], [0.2066, 0.9331, 0.7017], [0.4067, 0.5161, 0.6947], [0.5000, 0.0000, 0.0000], [0.8986, 0.6947, 0.4839], [0.6175, 0.4839, 0.3053], [0.0773, 0.3053, 0.5161], [0.5927, 0.1439, 0.6489], [0.2634, 0.3511, 0.1439], [0.3854, 0.8561, 0.3511], [0.7584, 0.6489, 0.8561], [0.0000, 0.0000, 0.0000]]
}